LiPaCrO6 | GGA+U | optimized geometry

```
LiPaCrO6
1.0
5.3798 0.0000 0.0000
-2.6899 4.6590 0.0000
0.0000 0.0000 9.0023
Li Pa Cr O
2 2 2 12
direct
0.0000 0.0000 0.0000
0.0000 0.0000 0.5000
0.3333 0.6667 0.2500
0.6667 0.3333 0.7500
0.6667 0.3333 0.2500
0.3333 0.6667 0.7500
0.6591 0.6162 0.1362
0.9572 0.3409 0.1362
0.3409 0.9572 0.6362
0.0428 0.6591 0.8638
0.3838 0.3409 0.3638
0.9572 0.6162 0.3638
0.6162 0.9572 0.8638
0.6591 0.0428 0.3638
0.0428 0.3838 0.6362
0.3838 0.0428 0.1362
0.6162 0.6591 0.6362
0.3409 0.3838 0.8638
```

Summary:
* space-group type: P-31c, No. 163
* total energy: -134.17 eV per cell